Entry 1:
## SrTiTlAu2 (GGA-PBE)

Data for a geometry-optimized SrTiTlAu2 structure.

VASP energy in eV/atom: -2.64
Energy above the most stable polymorph in this dataset in meV/atom: 1132
DFT formation energy in eV/atom: 1.06

Cell lengths 5.5254, 5.5254, 6.0051 Å; angles 90.00, 90.00, 90.00 degrees
Last column: nearest neighbours and their distance in Å.
Fractional positions:
Sr (0.0000, 0.0000, 0.0000)  4 Au 2.76, 2 Tl 3.00
Ti (0.5000, 0.5000, 0.5000)  4 Tl 3.91, 8 Au 4.08
Tl (0.0000, 0.0000, 0.5000)  2 Sr 3.00
Au (0.0000, 0.5000, 0.0000)  2 Sr 2.76
Au (0.5000, 0.0000, 0.0000)  2 Sr 2.76

Entry 2:
## Sr2TiTlAu (GGA-PBE)

Data for a geometry-optimized Sr2TiTlAu structure.

VASP energy in eV/atom: -2.85
DFT formation energy in eV/atom: 0.53

Cell lengths 6.0890, 6.0890, 5.2049 Å; angles 90.00, 90.00, 90.00 degrees
Last column: nearest neighbours and their distance in Å.
Fractional positions:
Sr (0.0000, 0.5000, 0.0000)  2 Ti 3.04
Sr (0.5000, 0.0000, 0.0000)  2 Ti 3.04
Ti (0.0000, 0.0000, 0.0000)  2 Tl 2.60
Tl (0.0000, 0.0000, 0.5000)  2 Ti 2.60
Au (0.5000, 0.5000, 0.5000)  8 Sr 4.01, 4 Tl 4.31

Entry 3:
## SrTiTlAu2 (GGA-PBE)

Data for a geometry-optimized SrTiTlAu2 structure.

VASP energy in eV/atom: -3.77
Energy above the most stable polymorph in this dataset in meV/atom: 0
DFT formation energy in eV/atom: -0.07

Cell lengths 5.1118, 5.1118, 5.3643 Å; angles 90.00, 90.00, 90.00 degrees
Last column: nearest neighbours and their distance in Å.
Fractional positions:
Sr (0.0000, 0.0000, 0.0000)  4 Tl 3.61, 8 Au 3.70
Ti (0.5000, 0.5000, 0.5000)  4 Au 2.56, 2 Tl 2.68
Tl (0.5000, 0.5000, 0.0000)  2 Ti 2.68
Au (0.0000, 0.5000, 0.5000)  2 Ti 2.56
Au (0.5000, 0.0000, 0.5000)  2 Ti 2.56

Entry 4:
## Sr5Tl4Au (GGA-PBE)

Data for a geometry-optimized Sr5Tl4Au structure.

VASP energy in eV/atom: -2.59
DFT formation energy in eV/atom: -0.48

Cell lengths 4.0521, 4.0521, 20.1987 Å; angles 90.00, 90.00, 90.00 degrees
Last column: nearest neighbours and their distance in Å.
Fractional positions:
Sr (0.0000, 0.0000, 0.0000)  8 Tl 3.55
Sr (0.0000, 0.0000, 0.2043)  8 Tl 3.49-3.51
Sr (0.0000, 0.0000, 0.4091)  4 Au 3.40, 4 Tl 3.57, 1 Sr 3.67
Sr (0.0000, 0.0000, 0.5909)  4 Au 3.40, 4 Tl 3.57, 1 Sr 3.67
Sr (0.0000, 0.0000, 0.7957)  8 Tl 3.49-3.51
Tl (0.5000, 0.5000, 0.1039)  8 Sr 3.51-3.55
Tl (0.5000, 0.5000, 0.3033)  8 Sr 3.49-3.57
Tl (0.5000, 0.5000, 0.6967)  8 Sr 3.49-3.57
Tl (0.5000, 0.5000, 0.8961)  8 Sr 3.51-3.55
Au (0.5000, 0.5000, 0.5000)  8 Sr 3.40

Entry 5:
## SrTl2Au4 (GGA-PBE)

Data for a geometry-optimized SrTl2Au4 structure.

VASP energy in eV/atom: -3.11
DFT formation energy in eV/atom: -0.32

Cell lengths 9.4653, 9.4653, 5.8271 Å; angles 90.00, 90.00, 41.50 degrees
Last column: nearest neighbours and their distance in Å.
Fractional positions:
Sr (0.2265, 0.7735, 0.7500)  10 Au 3.28-3.41, 2 Tl 3.68
Sr (0.7735, 0.2265, 0.2500)  10 Au 3.28-3.41, 2 Tl 3.68
Tl (0.1794, 0.4218, 0.7500)  5 Au 2.96-3.12
Tl (0.4218, 0.1794, 0.2500)  5 Au 2.96-3.12
Tl (0.5782, 0.8206, 0.7500)  5 Au 2.96-3.12
Tl (0.8206, 0.5782, 0.2500)  5 Au 2.96-3.12
Au (0.1514, 0.1514, 0.0000)  4 Au 2.88-2.91, 4 Tl 3.05-3.12
Au (0.1514, 0.1514, 0.5000)  4 Au 2.88-2.91, 4 Tl 3.05-3.12
Au (0.2386, 0.6051, 0.2500)  3 Au 2.77-2.88, 1 Tl 2.96
Au (0.3949, 0.7614, 0.2500)  3 Au 2.77-2.88, 1 Tl 2.96
Au (0.6051, 0.2386, 0.7500)  3 Au 2.77-2.88, 1 Tl 2.96
Au (0.7614, 0.3949, 0.7500)  3 Au 2.77-2.88, 1 Tl 2.96
Au (0.8486, 0.8486, 0.0000)  4 Au 2.88-2.91, 4 Tl 3.05-3.12
Au (0.8486, 0.8486, 0.5000)  4 Au 2.88-2.91, 4 Tl 3.05-3.12

Entry 6:
## SrTlAu3 (GGA-PBE)

Data for a geometry-optimized SrTlAu3 structure.

VASP energy in eV/atom: -3.24
Energy above the most stable polymorph in this dataset in meV/atom: 0
DFT formation energy in eV/atom: -0.46

Cell lengths 13.9649, 13.9649, 4.6697 Å; angles 90.00, 90.00, 163.57 degrees
Last column: nearest neighbours and their distance in Å.
Fractional positions:
Sr (0.0773, 0.9227, 0.7500)  12 Au 3.35-3.55
Sr (0.9227, 0.0773, 0.2500)  12 Au 3.35-3.55
Tl (0.2093, 0.7907, 0.2500)  7 Au 2.96-3.15
Tl (0.7907, 0.2093, 0.7500)  7 Au 2.96-3.15
Au (0.3164, 0.6836, 0.2500)  2 Au 2.83, 5 Tl 2.96-3.15
Au (0.3746, 0.6254, 0.7500)  3 Au 2.74-2.83, 2 Tl 3.06
Au (0.4735, 0.5265, 0.7500)  3 Au 2.74-2.76
Au (0.5265, 0.4735, 0.2500)  3 Au 2.74-2.76
Au (0.6254, 0.3746, 0.2500)  3 Au 2.74-2.83, 2 Tl 3.06
Au (0.6836, 0.3164, 0.7500)  2 Au 2.83, 5 Tl 2.96-3.15

Entry 7:
## Sr3Tl3Au (GGA-PBE)

Data for a geometry-optimized Sr3Tl3Au structure.

VASP energy in eV/atom: -2.66
DFT formation energy in eV/atom: -0.46

Cell lengths 6.6379, 6.6379, 17.7346 Å; angles 104.04, 104.04, 37.70 degrees
Last column: nearest neighbours and their distance in Å.
Fractional positions:
Sr (0.0116, 0.0116, 0.3833)  2 Au 3.28, 6 Tl 3.47-3.61
Sr (0.1158, 0.1158, 0.9244)  7 Tl 3.46-3.55
Sr (0.2270, 0.2270, 0.2358)  2 Au 3.24, 5 Tl 3.46-3.55
Sr (0.7730, 0.7730, 0.7642)  2 Au 3.24, 5 Tl 3.46-3.55
Sr (0.8842, 0.8842, 0.0756)  7 Tl 3.46-3.55
Sr (0.9884, 0.9884, 0.6167)  2 Au 3.28, 6 Tl 3.47-3.61
Tl (0.3362, 0.3362, 0.4627)  3 Au 2.98-3.18
Tl (0.3899, 0.3899, 0.9219)  2 Tl 3.29-3.38, 7 Sr 3.46-3.55
Tl (0.4995, 0.4995, 0.2273)  1 Au 3.06, 1 Tl 3.29
Tl (0.5005, 0.5005, 0.7727)  1 Au 3.06, 1 Tl 3.29
Tl (0.6101, 0.6101, 0.0781)  2 Tl 3.29-3.38, 7 Sr 3.46-3.55
Tl (0.6638, 0.6638, 0.5373)  3 Au 2.98-3.18
Au (0.2985, 0.2985, 0.6330)  4 Tl 2.98-3.18, 4 Sr 3.24-3.28
Au (0.7015, 0.7015, 0.3670)  4 Tl 2.98-3.18, 4 Sr 3.24-3.28

Entry 8:
## Sr4TlAu (GGA-PBE)

Data for a geometry-optimized Sr4TlAu structure.

VASP energy in eV/atom: -1.71
Energy above the most stable polymorph in this dataset in meV/atom: 748
DFT formation energy in eV/atom: 0.35

Cell lengths 7.0657, 7.0657, 7.0657 Å; angles 60.00, 60.00, 60.00 degrees
Last column: nearest neighbours and their distance in Å.
Fractional positions:
Sr (0.1249, 0.1249, 0.1249)  6 Sr 3.53-3.54
Sr (0.1249, 0.1249, 0.6253)  6 Sr 3.53-3.54
Sr (0.1249, 0.6253, 0.1249)  6 Sr 3.53-3.54
Sr (0.6253, 0.1249, 0.1249)  6 Sr 3.53-3.54
Tl (0.7500, 0.7500, 0.7500)  12 Sr 4.14, 4 Au 4.33
Au (0.5000, 0.5000, 0.5000)  12 Sr 4.14, 4 Tl 4.33

Number 1: theoretical density 6.6 g/cm³. Number 2: theoretical density 5.4 g/cm³. Number 3: theoretical density 8.7 g/cm³. Number 4: theoretical density 7.3 g/cm³. Number 5: theoretical density 12.3 g/cm³. Number 6: theoretical density 11.4 g/cm³. Number 7: theoretical density 7.7 g/cm³. Number 8: theoretical density 5.0 g/cm³.